Compound: Y2SiTe
Source: Alexandria
Functional: SCAN
Structure: single point on PBEsol structure

Properties
**Density of states at the Fermi level**: 0.45 states/eV/atom
**Size of the total moment**: 0.00 μB/f.u.
**DFT total energy**: -26.51 eV/atom
**SG**: No. 119

Cell lengths 4.2445, 4.2445, 10.5060 Å; angles 90.00, 90.00, 90.00 degrees
Closest atoms and distances in Å follow each position.
Fractional coordinates of all 8 atoms:
1 Y 0.0000 0.0000 0.0000  4 Si 3.00
2 Y 0.0000 0.5000 0.2500  4 Te 3.00
3 Y 0.5000 0.0000 0.7500  4 Te 3.00
4 Y 0.5000 0.5000 0.5000  4 Si 3.00
5 Si 0.0000 0.0000 0.5000  4 Y 3.00
6 Si 0.5000 0.5000 0.0000  4 Y 3.00
7 Te 0.0000 0.5000 0.7500  4 Y 3.00
8 Te 0.5000 0.0000 0.2500  4 Y 3.00